Zr2PRh: relaxed, GGA-PBE.

Formation enthalpy at 0 K = -0.8368 eV/atom
Total magnetization = 0.0 μB/f.u.

a = 7.1603 Å, b = 7.1603 Å, c = 7.1603 Å
α = 29.06°, β = 29.06°, γ = 29.06°
With the nearest neighbours (Å) after each atom.
Positions (direct):
Zr (0.2453, 0.2453, 0.2453)  3 P 2.63, 3 Rh 2.75
Zr (0.7547, 0.7547, 0.7547)  3 P 2.63, 3 Rh 2.75
P (0.5000, 0.5000, 0.5000)  6 Zr 2.63
Rh (0.0000, 0.0000, 0.0000)  6 Zr 2.75